Computed, not measured: Li2CdHRu after structural relaxation at the PBE-GGA level of DFT.

Summary:
As for the size of the total moment: 0.00 Bohr magnetons per cell. Its space group is No. 123. The total energy comes out at -3.57 eV/atom. The theoretical density comes out at 6.226 Mg/m³.

Lattice parameters (Å, degrees): 4.037 4.037 3.737 90.00 90.00 90.00
Element x y z (fractional)
Ru 0.000 0.000 0.500
Li 0.000 0.500 0.000
Li 0.500 0.000 0.000
H 0.000 0.000 0.000
Cd 0.500 0.500 0.500